DFT (GGA-PBE) results for a relaxed TbCeTl2 crystal.

Values from the calculation:
* calculated total energy: -14.9 eV/cell

Lattice parameters (Å, degrees): 12.100 12.100 12.100 16.45 16.45 16.45
Atoms (fractional coordinates):
1 Tb 0.000 0.000 0.000
2 Ce 0.500 0.500 0.500
3 Tl 0.410 0.410 0.410
4 Tl 0.590 0.590 0.590